Record 1
! CdBF3 | Alexandria | PBE | optimized geometry; values from VASP
! * ΔE_f (raw): -0.79 eV/atom
! * Fermi-level density of states: 2.4 states/eV/f.u.
! * V: 12.0 Å³/atom
! * E: -3.43 eV per atom
! * crystal system: cubic
! * distance to the lowest polymorph of the same formula: 0 meV/atom
&SYSTEM
  ibrav = 0, nat = 5, ntyp = 3
/
ATOMIC_SPECIES
Cd 112.41 Cd.upf
B 10.81 B.upf
F 19.00 F.upf
ATOMIC_POSITIONS angstrom
Cd 0.000 0.000 0.000
B 1.958 1.958 1.958
F 0.000 1.958 1.958
F 1.958 0.000 1.958
F 1.958 1.958 0.000
CELL_PARAMETERS angstrom
3.917 0.000 0.000
0.000 3.917 0.000
0.000 0.000 3.917

***

Record 2
! Zr2Zn2Te | Alexandria | PBE | optimized geometry; values from VASP
! * ΔE_f (raw): -0.19 eV/atom
! * Fermi-level density of states: 3.3 states/eV/f.u.
! * V: 20.0 Å³/atom
! * E: -4.75 eV per atom
! * crystal system: tetragonal
! * distance to the lowest polymorph of the same formula: 61 meV/atom
&SYSTEM
  ibrav = 0, nat = 10, ntyp = 3
/
ATOMIC_SPECIES
Zr 91.22 Zr.upf
Zn 65.41 Zn.upf
Te 127.60 Te.upf
ATOMIC_POSITIONS angstrom
Zr 1.241 2.322 0.000
Zr 2.322 5.885 0.000
Zr 4.804 1.241 0.000
Zr 5.885 4.804 0.000
Zn 0.863 4.426 1.971
Zn 2.700 0.863 1.971
Zn 4.426 6.263 1.971
Zn 6.263 2.700 1.971
Te 0.000 0.000 1.971
Te 3.563 3.563 1.971
CELL_PARAMETERS angstrom
7.126 0.000 0.000
0.000 7.126 0.000
0.000 0.000 3.942

***

Record 3
! Mg2BeNbN4 | Alexandria | PBE | optimized geometry; values from VASP
! * ΔE_f (raw): -0.68 eV/atom
! * Fermi-level density of states: 3.9 states/eV/f.u.
! * V: 11.9 Å³/atom
! * E: -6.97 eV per atom
! * crystal system: orthorhombic
&SYSTEM
  ibrav = 0, nat = 16, ntyp = 4
/
ATOMIC_SPECIES
Mg 24.30 Mg.upf
Be 9.01 Be.upf
Nb 92.91 Nb.upf
N 14.01 N.upf
ATOMIC_POSITIONS angstrom
Mg 1.646 0.960 0.000
Mg 1.642 4.907 2.464
Mg 4.931 0.960 0.000
Mg 4.935 4.907 2.464
Be 0.000 1.964 2.578
Be 3.288 3.903 0.114
Nb 0.000 3.785 0.051
Nb 3.288 2.081 2.515
N 0.000 1.973 4.308
N 0.000 3.650 2.003
N 1.572 1.116 2.159
N 1.716 4.751 4.623
N 3.288 2.216 4.467
N 3.288 3.894 1.844
N 4.861 4.751 4.623
N 5.005 1.116 2.159
CELL_PARAMETERS angstrom
6.577 0.000 0.000
0.000 5.866 0.000
0.000 0.000 4.928

***

Record 4
! Ac2Y3Os2 | Alexandria | PBE | optimized geometry; values from VASP
! * Fermi-level density of states: 4.6 states/eV/f.u.
! * E_form: 5 kJ/mol of formula units
! * V: 32.6 Å³/atom
! * E: -7.15 eV per atom
! * crystal system: monoclinic
&SYSTEM
  ibrav = 0, nat = 7, ntyp = 3
/
ATOMIC_SPECIES
Ac 227.00 Ac.upf
Y 88.91 Y.upf
Os 190.23 Os.upf
ATOMIC_POSITIONS angstrom
Ac -0.215 0.000 3.067
Ac 9.545 0.000 4.544
Y 3.512 0.000 1.377
Y 6.727 0.000 0.000
Y 5.819 0.000 6.233
Os -2.594 0.000 6.983
Os 11.924 0.000 0.628
CELL_PARAMETERS angstrom
6.727 -2.230 0.000
6.727 2.230 0.000
-4.123 0.000 7.610